Below is a geometry-optimized Nb2CoN structure, with properties calculated at the GGA-PBE level.

Cell lengths 3.0901, 3.0901, 12.8246 Å; angles 90.00, 90.00, 120.00 degrees
Closest atoms and distances in Å follow each position.
Atoms (fractional coordinates):
Nb1 0.3333 0.6667 0.4025  3 N 2.18
Nb2 0.3333 0.6667 0.0975  3 N 2.18
Nb3 0.6667 0.3333 0.5975  3 N 2.18
Nb4 0.6667 0.3333 0.9025  3 N 2.18
N1 0.0000 0.0000 0.0000  6 Nb 2.18
N2 0.0000 0.0000 0.5000  6 Nb 2.18
Co1 0.3333 0.6667 0.7500  6 Nb 2.65
Co2 0.6667 0.3333 0.2500  6 Nb 2.65

Values from the calculation:
SG: No. 194


Below is a geometry-optimized Nb4CoNiN2 structure, with properties calculated at the GGA-PBE level.

Cell lengths 3.1044, 3.1044, 12.8530 Å; angles 90.00, 90.00, 120.00 degrees
Closest atoms and distances in Å follow each position.
Atoms (fractional coordinates):
Nb1 0.6667 0.3333 0.8477  3 N 2.18
Nb2 0.6667 0.3333 0.1523  3 N 2.18
Nb3 0.0000 0.0000 0.6557  3 N 2.17
Nb4 0.0000 0.0000 0.3443  3 N 2.17
Co1 0.0000 0.0000 0.0000  6 Nb 2.65
N1 0.3333 0.6667 0.7513  6 Nb 2.17-2.18
N2 0.3333 0.6667 0.2487  6 Nb 2.17-2.18
Ni1 0.6667 0.3333 0.5000  6 Nb 2.69

Values from the calculation:
SG: No. 187


The evaluated electronic total energy for the records listed, in turn: -9.29 -9.13 eV/atom.